1.
Density functional theory data (PBE) for a geometry-optimized CrSb2IBr structure.

```
CrSb2IBr
1.0
5.1738 0.0000 0.0000
0.0000 5.1738 0.0000
0.0000 0.0000 5.3456
Sb Cr Br I
2 1 1 1
Cartesian
2.5869 0.0000 0.0000 Sb
0.0000 2.5869 0.0000 Sb
0.0000 0.0000 0.0000 Cr
2.5869 2.5869 2.6728 Br
0.0000 0.0000 2.6728 I
```

Summary:
Calculated total energy   -3.95 eV per atom
Offset from the most stable computed form   0 meV/atom
ΔE_f (raw)   0.27 eV/atom
Symmetry   No. 123
N(E_F)   4.15 states/eV per cell

***

2.
Density functional theory data (PBE) for a geometry-optimized CrSbI2Br structure.

```
CrSbI2Br
1.0
5.8065 0.0000 0.0000
0.0000 5.8065 0.0000
0.0000 0.0000 5.8647
Cr I Br Sb
1 2 1 1
Cartesian
2.9033 2.9033 2.9323 Cr
2.9033 0.0000 0.0000 I
0.0000 2.9033 0.0000 I
0.0000 0.0000 0.0000 Br
0.0000 0.0000 2.9323 Sb
```

Summary:
Calculated total energy   -2.74 eV per atom
Offset from the most stable computed form   621 meV/atom
ΔE_f (raw)   0.97 eV/atom
Symmetry   No. 123
N(E_F)   3.41 states/eV per cell

***

3.
Density functional theory data (PBE) for a geometry-optimized CrSbI2Br structure.

```
CrSbI2Br
1.0
5.2429 0.0000 0.0000
0.0000 5.2429 0.0000
0.0000 0.0000 5.2540
I Br Sb Cr
2 1 1 1
Cartesian
2.6215 0.0000 0.0000 I
0.0000 2.6215 0.0000 I
2.6215 2.6215 2.6270 Br
0.0000 0.0000 2.6270 Sb
0.0000 0.0000 0.0000 Cr
```

Summary:
Calculated total energy   -3.36 eV per atom
Offset from the most stable computed form   0 meV/atom
ΔE_f (raw)   0.35 eV/atom
Symmetry   No. 123
N(E_F)   8.64 states/eV per cell

***

4.
Density functional theory data (PBE) for a geometry-optimized CrSeIBr2 structure.

```
CrSeIBr2
1.0
5.0070 0.0000 0.0000
0.0000 5.0070 0.0000
0.0000 0.0000 4.8620
Br Cr Se I
2 1 1 1
Cartesian
0.0000 2.5035 0.0000 Br
2.5035 0.0000 0.0000 Br
0.0000 0.0000 0.0000 Cr
0.0000 0.0000 2.4310 Se
2.5035 2.5035 2.4310 I
```

Summary:
Calculated total energy   -3.43 eV per atom
Offset from the most stable computed form   0 meV/atom
ΔE_f (raw)   0.17 eV/atom
Symmetry   No. 123
N(E_F)   5.42 states/eV per cell

***

5.
Density functional theory data (PBE) for a geometry-optimized Cr2SeIBr structure.

```
Cr2SeIBr
1.0
5.5081 0.0000 0.0000
0.0000 5.3220 0.0000
0.0000 0.0000 5.5081
Cr Br Se I
2 1 1 1
Cartesian
2.7540 0.0000 0.0000 Cr
0.0000 0.0000 2.7540 Cr
2.7540 2.6610 2.7540 Br
0.0000 2.6610 0.0000 Se
0.0000 0.0000 0.0000 I
```

Summary:
Calculated total energy   -4.27 eV per atom
ΔE_f (raw)   0.92 eV/atom
Symmetry   No. 123
N(E_F)   2.96 states/eV per cell

***

6.
Density functional theory data (PBE) for a geometry-optimized CrSe2IBr structure.

```
CrSe2IBr
1.0
4.8188 0.0000 0.0000
0.0000 4.8188 0.0000
0.0000 0.0000 5.0271
Se Br I Cr
2 1 1 1
Cartesian
0.0000 2.4094 0.0000 Se
2.4094 0.0000 0.0000 Se
0.0000 0.0000 2.5135 Br
2.4094 2.4094 2.5135 I
0.0000 0.0000 0.0000 Cr
```

Summary:
Calculated total energy   -3.76 eV per atom
Offset from the most stable computed form   0 meV/atom
ΔE_f (raw)   0.20 eV/atom
Symmetry   No. 123
N(E_F)   5.62 states/eV per cell

***

7.
Density functional theory data (PBE) for a geometry-optimized CrTe2IBr structure.

```
CrTe2IBr
1.0
-4.8011 -1.5598 0.6150
0.2646 -2.5469 -4.3938
1.7752 -4.4135 2.6652
Br Te I Cr
1 2 1 1
Cartesian
-1.3806 -4.2601 -0.5568 Br
-2.4006 -0.7799 0.3075 Te
0.1323 -1.2734 -2.1969 Te
0.8876 -2.2068 1.3326 I
0.0000 0.0000 0.0000 Cr
```

Summary:
Calculated total energy   -3.51 eV per atom
Offset from the most stable computed form   0 meV/atom
ΔE_f (raw)   0.31 eV/atom
Symmetry   No. 123
N(E_F)   7.03 states/eV per cell

***

8.
Density functional theory data (PBE) for a geometry-optimized CrTe2IBr structure.

```
CrTe2IBr
1.0
5.6555 0.0000 0.0000
0.0000 5.6555 0.0000
0.0000 0.0000 5.7750
Te Cr Br I
2 1 1 1
Cartesian
2.8278 0.0000 0.0000 Te
0.0000 2.8278 0.0000 Te
2.8278 2.8278 2.8875 Cr
0.0000 0.0000 0.0000 Br
0.0000 0.0000 2.8875 I
```

Summary:
Calculated total energy   -2.85 eV per atom
Offset from the most stable computed form   666 meV/atom
ΔE_f (raw)   0.98 eV/atom
Symmetry   No. 123
N(E_F)   7.84 states/eV per cell